No. 1
## OsPdF3 (PBE-GGA)

Data for a relaxed OsPdF3 crystal.

Values from the calculation:
Energy relative to the lowest polymorph listed for this composition, meV/atom: 527.3
SG: Pm-3m, No. 221

a = 4.303 Å, b = 4.303 Å, c = 4.303 Å
α = 90.00°, β = 90.00°, γ = 90.00°
Element x y z (fractional)
Os 0.000 0.000 0.000
Pd 0.500 0.500 0.500
F 0.000 0.500 0.500
F 0.500 0.000 0.500
F 0.500 0.500 0.000

=====

No. 2
## CdPdAu5 (PBE-GGA)

Data for a relaxed CdPdAu5 crystal.

Values from the calculation:
Energy relative to the lowest polymorph listed for this composition, meV/atom: 447.0
E_form, meV/atom: 425
SG: Imm2, No. 44

a = 6.604 Å, b = 6.604 Å, c = 6.604 Å
α = 111.02°, β = 87.66°, γ = 133.01°
Element x y z (fractional)
Cd 0.000 0.000 0.000
Pd 0.780 0.280 0.500
Au 0.291 0.610 0.319
Au 0.291 0.972 0.681
Au 0.315 0.587 0.728
Au 0.509 0.509 0.000
Au 0.859 0.587 0.272

=====

No. 3
## AgAs2SBr (PBE-GGA)

Data for a relaxed AgAs2SBr crystal.

Values from the calculation:
Energy relative to the lowest polymorph listed for this composition, meV/atom: 381.6
SG: P4/mmm, No. 123

a = 5.108 Å, b = 5.108 Å, c = 4.984 Å
α = 90.00°, β = 90.00°, γ = 90.00°
Element x y z (fractional)
Ag 0.000 0.000 0.000
As 0.000 0.500 0.000
As 0.500 0.000 0.000
S 0.500 0.500 0.500
Br 0.000 0.000 0.500

=====

No. 4
## Ti2ReOsN (PBE-GGA)

Data for a relaxed Ti2ReOsN crystal.

Values from the calculation:
SG: P4/mmm, No. 123
Calculated total energy, eV/atom: -8.57

a = 4.897 Å, b = 4.897 Å, c = 3.639 Å
α = 90.00°, β = 90.00°, γ = 90.00°
Element x y z (fractional)
Ti 0.000 0.500 0.000
Ti 0.500 0.000 0.000
Re 0.000 0.000 0.500
Os 0.500 0.500 0.000
N 0.500 0.500 0.500

=====

No. 5
## Ac3Si2B2 (PBE-GGA)

Data for a relaxed Ac3Si2B2 crystal.

Values from the calculation:
SG: Immm, No. 71
Calculated total energy, eV/atom: -5.54

a = 9.495 Å, b = 9.495 Å, c = 9.495 Å
α = 157.46°, β = 151.35°, γ = 36.76°
Element x y z (fractional)
Ac 0.000 0.000 0.000
Ac 0.180 0.680 0.500
Ac 0.820 0.320 0.500
Si 0.385 0.885 0.500
Si 0.615 0.115 0.500
B 0.451 0.451 0.000
B 0.549 0.549 0.000

=====

No. 6
## AlHgPb (PBE-GGA)

Data for a relaxed AlHgPb crystal.

Values from the calculation:
Energy relative to the lowest polymorph listed for this composition, meV/atom: 47.3
E_form, meV/atom: 170
SG: I4mm, No. 107

a = 6.936 Å, b = 6.936 Å, c = 6.936 Å
α = 151.83°, β = 151.83°, γ = 40.26°
Element x y z (fractional)
Al 0.000 0.000 0.000
Hg 0.365 0.365 0.000
Pb 0.670 0.670 0.000

=====

No. 7
## CoReAs6 (PBE-GGA)

Data for a relaxed CoReAs6 crystal.

Values from the calculation:
E_form, meV/atom: 97
SG: C2, No. 5

a = 5.553 Å, b = 5.553 Å, c = 5.662 Å
α = 90.30°, β = 90.30°, γ = 98.94°
Element x y z (fractional)
Co 0.000 0.000 0.000
Re 0.005 0.995 0.500
As 0.018 0.655 0.760
As 0.279 0.288 0.776
As 0.345 0.982 0.240
As 0.712 0.721 0.224
As 0.748 0.235 0.760
As 0.765 0.252 0.240

=====

No. 8
## KSb (PBE-GGA)

Data for a relaxed KSb crystal.

Values from the calculation:
Energy relative to the lowest polymorph listed for this composition, meV/atom: 271.2
SG: Cm, No. 8

a = 8.527 Å, b = 8.527 Å, c = 11.283 Å
α = 108.37°, β = 108.37°, γ = 22.68°
Element x y z (fractional)
K 0.000 0.000 0.000
K 0.085 0.085 0.561
K 0.250 0.250 0.113
Sb 0.465 0.465 0.266
Sb 0.626 0.626 0.846
Sb 0.638 0.638 0.304